# GGA+U Li3Mn3O8, relaxed
data_Li3Mn3O8
_chemical_formula_sum 'Li9 Mn9 O24'
_cell_length_a 5.8177
_cell_length_b 5.8177
_cell_length_c 14.6248
_cell_angle_alpha 90.00
_cell_angle_beta 90.00
_cell_angle_gamma 120.00
_space_group_name_H-M_alt 'R -3 m'
_space_group_IT_number 166
_space_group_name_Hall '-R 3 2"'
loop_
_atom_site_label
_atom_site_type_symbol
_atom_site_fract_x
_atom_site_fract_y
_atom_site_fract_z
Li1 Li 0.0000 0.0000 0.0000
Li2 Li 0.0000 0.0000 0.3795
Mn1 Mn 0.0000 0.5000 0.5000
O1 O 0.0000 0.0000 0.2377
O2 O 0.0283 0.5141 0.7632
# E = -268.764 eV/cell
# energy above the most stable polymorph in this dataset = 0.0000 eV/atom
# magnetic moment = 0.571 μB per atom
# crystal system = trigonal
# DOS at the Fermi energy = 0.517 states/eV/atom